(1)
An optimized crystal structure of DyCd2Bi. Source: Alexandria, functional GGA-PBE.

ρ in Mg/m³: 9.6
ΔE_f in meV/atom: -379.1

a b c (Å): 4.5066 4.5066 5.1036
angles (deg): 90.00 90.00 90.00
With the nearest neighbours (Å) after each atom.
Space group P4/mmm (No. 123)
Unique sites:
Dy1 0.0000 0.0000 0.0000  4 Bi 3.19, 8 Cd 3.40
Cd1 0.0000 0.5000 0.5000  4 Cd 3.19, 4 Dy 3.40, 4 Bi 3.40
Bi1 0.5000 0.5000 0.0000  4 Dy 3.19, 8 Cd 3.40

=====

(2)
An optimized crystal structure of PuZr2Cd. Source: Alexandria, functional GGA-PBE.

Energy above the most stable polymorph in this dataset in eV/atom: 0.009
ρ in Mg/m³: 10.0
ΔE_f in meV/atom: 15.6

a b c (Å): 5.2051 5.2051 3.3129
angles (deg): 90.00 90.00 90.00
With the nearest neighbours (Å) after each atom.
Space group P4/mmm (No. 123)
Unique sites:
Pu1 0.0000 0.0000 0.0000  8 Zr 3.08, 2 Pu 3.31
Zr1 0.0000 0.5000 0.5000  4 Cd 3.08, 4 Pu 3.08, 2 Zr 3.31
Cd1 0.5000 0.5000 0.0000  8 Zr 3.08, 2 Cd 3.31

=====

(3)
An optimized crystal structure of Tb2NdSm3. Source: Alexandria, functional GGA-PBE.

ρ in Mg/m³: 7.6
ΔE_f in meV/atom: 12.4

a b c (Å): 10.2198 7.2254 11.9867
angles (deg): 90.00 115.21 90.00
With the nearest neighbours (Å) after each atom.
Space group C2/c (No. 15)
Unique sites:
Tb1 0.1663 0.1249 0.0827  2 Tb 3.61, 8 Sm 3.61-3.62, 2 Nd 3.62
Nd1 0.0000 0.3746 0.2500  8 Sm 3.61, 4 Tb 3.62
Sm1 0.0000 0.1254 0.7500  6 Tb 3.61-3.62, 2 Nd 3.61, 4 Sm 3.61-3.62
Sm2 0.1666 0.3752 0.5832  5 Tb 3.61-3.62, 4 Sm 3.61-3.62, 3 Nd 3.61

=====

(4)
An optimized crystal structure of Fe4P5. Source: Alexandria, functional GGA-PBE.

Energy above the most stable polymorph in this dataset in eV/atom: 0.000
ρ in Mg/m³: 6.0
ΔE_f in meV/atom: 84.5

a b c (Å): 7.1574 7.1574 4.7063
angles (deg): 90.00 90.00 120.00
With the nearest neighbours (Å) after each atom.
Space group P6_3/mcm (No. 193)
Unique sites:
Fe1 0.0000 0.0000 0.0000  2 Fe 2.35, 6 P 2.37
Fe2 0.0000 0.3756 0.2500  9 P 2.41-2.54
P1 0.0000 0.2877 0.7500  7 Fe 2.37-2.44
P2 0.3333 0.6667 0.0000  2 P 2.35, 6 Fe 2.54

=====

(5)
An optimized crystal structure of Nd2TmTh3. Source: Alexandria, functional GGA-PBE.

ρ in Mg/m³: 9.6
ΔE_f in meV/atom: 197.2

a b c (Å): 10.3035 11.4257 6.7679
angles (deg): 90.00 90.00 90.00
With the nearest neighbours (Å) after each atom.
Space group Cmcm (No. 63)
Unique sites:
Nd1 0.1672 0.2304 0.2500  3 Tm 3.43-3.83, 3 Nd 3.45-3.82, 6 Th 3.51-3.57
Tm1 0.0000 0.2715 0.7500  6 Nd 3.43-3.83, 6 Th 3.53-3.55
Th1 0.0000 0.0000 0.0000  4 Th 3.38-3.45, 2 Tm 3.53, 4 Nd 3.57
Th2 0.1653 0.5000 0.0000  4 Th 3.38-3.45, 4 Nd 3.51-3.57, 2 Tm 3.55

=====

(6)
An optimized crystal structure of Ac6Os2S. Source: Alexandria, functional GGA-PBE.

ΔE_f (raw) in eV per formula unit: -3.4
ρ in Mg/m³: 8.3

a b c (Å): 7.4287 7.4287 22.3510
angles (deg): 90.00 90.00 120.00
With the nearest neighbours (Å) after each atom.
Space group R-3 (No. 148, hexagonal axes)
Unique sites:
Ac1 0.0018 0.6870 0.4074  2 Os 2.94-2.96, 1 S 3.12
Os1 0.0000 0.0000 0.3256  6 Ac 2.94-2.96
S1 0.0000 0.0000 0.5000  6 Ac 3.12

=====

(7)
An optimized crystal structure of MnZnI3. Source: Alexandria, functional GGA-PBE.

ΔE_f (raw) in eV per formula unit: 2.2
Energy above the most stable polymorph in this dataset in eV/atom: 0.220
ρ in Mg/m³: 5.4

a b c (Å): 5.3604 5.3604 5.3604
angles (deg): 90.00 90.00 90.00
With the nearest neighbours (Å) after each atom.
Space group Pm-3m (No. 221)
Unique sites:
Mn1 0.0000 0.0000 0.0000  6 I 2.68
Zn1 0.5000 0.5000 0.5000  12 I 3.79
I1 0.0000 0.0000 0.5000  2 Mn 2.68